(1)
Material: CrCu5Pd6
Method: DFT, PBE
State: optimized geometry

Summary:
Theoretical density (Mg/m³): 10.0
E_form (eV per atom): -0.107
Calculated total energy (eV/atom): -5.21
Crystal system: monoclinic

abc: 4.3291 5.9508 6.8234
angles: 90.00 108.27 90.00
Site moments in Bohr magnetons follow the coordinates.
Fractional coordinates of all 12 atoms:
Pd: 0.1744 0.2504 0.3339  0.03
Pd: 0.5000 0.2515 0.0000  0.03
Cr: 0.0000 0.0000 0.0000  3.00
Cu: 0.6749 0.5000 0.3326  -0.01
Pd: 0.1744 0.7496 0.3339  0.03
Cu: 0.3251 0.5000 0.6674  -0.01
Cu: 0.0000 0.5000 0.0000  -0.03
Cu: 0.3256 0.0000 0.6672  0.01
Pd: 0.8256 0.7496 0.6661  0.03
Pd: 0.5000 0.7485 0.0000  0.03
Pd: 0.8256 0.2504 0.6661  0.03
Cu: 0.6744 0.0000 0.3328  0.01

(2)
Material: NaScTl2F6
Method: DFT, PBE
State: optimized geometry

Summary:
Theoretical density (Mg/m³): 5.9
Formation energy from raw total energies (eV per atom): -2.900
Calculated total energy (eV/atom): -5.26
Crystal system: cubic

abc: 6.1790 6.1790 6.1790
angles: 60.00 60.00 60.00
Fractional coordinates of all 10 atoms:
Tl: 0.2500 0.2500 0.2500
F: 0.2337 0.7663 0.2337
Tl: 0.7500 0.7500 0.7500
F: 0.7663 0.2337 0.2337
Sc: 0.0000 0.0000 0.0000
F: 0.2337 0.7663 0.7663
F: 0.7663 0.7663 0.2337
F: 0.7663 0.2337 0.7663
F: 0.2337 0.2337 0.7663
Na: 0.5000 0.5000 0.5000

(3)
Material: RbRuSe
Method: DFT, PBE
State: optimized geometry

Summary:
Theoretical density (Mg/m³): 4.8
Formation energy from raw total energies (eV per atom): -0.364
Calculated total energy (eV/atom): -4.94
Crystal system: tetragonal

abc: 4.1289 4.1289 10.8643
angles: 90.00 90.00 90.00
Fractional coordinates of all 6 atoms:
Se: 0.5000 0.0000 0.6231
Ru: 0.5000 0.5000 0.5000
Rb: 0.0000 0.5000 0.8002
Ru: 0.0000 0.0000 0.5000
Rb: 0.5000 0.0000 0.1998
Se: 0.0000 0.5000 0.3769

(4)
Material: K3MgZr
Method: DFT, PBE
State: optimized geometry

Summary:
Theoretical density (Mg/m³): 1.2
E_form (eV per atom): 1.167
Calculated total energy (eV/atom): -1.52
Relative energy among the computed polymorphs (meV per atom): 8.3
Crystal system: cubic

abc: 6.8491 6.8491 6.8491
angles: 90.00 90.00 90.00
Site moments in Bohr magnetons follow the coordinates.
Fractional coordinates of all 5 atoms:
K: 0.0000 0.0000 0.5000  0.05
K: 0.5000 0.0000 0.0000  0.05
Mg: 0.5000 0.5000 0.5000  0.01
Zr: 0.0000 0.0000 0.0000  1.90
K: 0.0000 0.5000 0.0000  0.05

(5)
Material: Nd3Dy6Ho
Method: DFT, PBE
State: optimized geometry

Summary:
Theoretical density (Mg/m³): 7.8
E_form (eV per atom): 0.226
Calculated total energy (eV/atom): -4.42
Relative energy among the computed polymorphs (meV per atom): 77.7
Crystal system: monoclinic

abc: 6.5951 9.7083 6.6548
angles: 111.33 119.70 90.00
Fractional coordinates of all 10 atoms:
Ho: 0.5000 0.5000 0.0000
Nd: 0.9299 0.3011 0.8599
Dy: 0.3634 0.0789 0.7269
Dy: 0.5598 0.6880 0.6277
Dy: 0.6366 0.9211 0.2731
Dy: 0.9322 0.3120 0.3723
Nd: 0.0000 0.0000 0.0000
Dy: 0.0678 0.6880 0.6277
Nd: 0.0701 0.6989 0.1401
Dy: 0.4402 0.3120 0.3723

(6)
Material: MgZn3I9
Method: DFT, PBE
State: optimized geometry

Summary:
Theoretical density (Mg/m³): 4.1
Formation energy from raw total energies (eV per atom): -0.538
Calculated total energy (eV/atom): -2.03
Crystal system: monoclinic

abc: 9.6099 11.0037 12.6759
angles: 77.54 67.72 64.11
Site moments in Bohr magnetons follow the coordinates.
Fractional coordinates of all 26 atoms:
I: 0.1372 0.0881 0.6795  0.23
Zn: 0.0069 0.9354 0.8459  0.00
I: 0.8618 0.4471 0.8679  0.01
Zn: 0.4555 0.7418 0.2302  0.00
I: 0.1815 0.6789 0.8353  0.00
I: 0.7480 0.7324 0.0901  0.12
I: 0.9226 0.3125 0.1895  0.08
Zn: 0.2118 0.4354 0.3459  0.00
I: 0.3684 0.2839 0.9370  0.00
I: 0.5754 0.8125 0.6895  0.08
I: 0.4295 0.2324 0.5901  0.12
I: 0.0952 0.5881 0.1795  0.23
Zn: 0.8013 0.5608 0.6768  0.00
I: 0.7045 0.4138 0.5994  0.01
I: 0.4106 0.7839 0.4370  0.00
I: 0.2822 0.9138 0.0994  0.01
I: 0.8222 0.0788 0.0239  0.00
I: 0.4812 0.4914 0.2148  0.18
I: 0.3043 0.1789 0.3353  0.00
Zn: 0.9611 0.0608 0.1768  0.00
Mg: 0.0353 0.4924 0.9876  0.00
I: 0.0752 0.5788 0.5239  0.00
Zn: 0.5725 0.2418 0.7302  0.00
Mg: 0.4847 0.9924 0.4876  0.00
I: 0.8232 0.9471 0.3679  0.01
I: 0.8126 0.9914 0.7148  0.18

(7)
Material: LiGePd3
Method: DFT, PBE
State: optimized geometry

Summary:
Theoretical density (Mg/m³): 8.5
E_form (eV per atom): 0.189
Calculated total energy (eV/atom): -4.23
Relative energy among the computed polymorphs (meV per atom): 733.5
Crystal system: cubic

abc: 4.2644 4.2644 4.2644
angles: 90.00 90.00 90.00
Fractional coordinates of all 5 atoms:
Pd: 0.5000 0.0000 0.0000
Pd: 0.0000 0.0000 0.5000
Pd: 0.0000 0.5000 0.0000
Ge: 0.5000 0.5000 0.5000
Li: 0.0000 0.0000 0.0000

(8)
Material: U2Mn2Ge2C
Method: DFT, PBE
State: optimized geometry

Summary:
Theoretical density (Mg/m³): 10.8
E_form (eV per atom): -0.249
Calculated total energy (eV/atom): -8.73
Crystal system: monoclinic

abc: 3.9784 5.7564 5.7564
angles: 73.03 69.78 69.78
Site moments in Bohr magnetons follow the coordinates.
Fractional coordinates of all 7 atoms:
Ge: 0.1620 0.3670 0.3089  0.00
U: 0.5436 0.1799 0.7329  1.87
Mn: 0.1956 0.6892 0.9195  -0.70
Mn: 0.8044 0.3108 0.0805  -0.70
C: 0.0000 0.0000 0.0000  0.02
U: 0.4564 0.8201 0.2671  1.87
Ge: 0.8380 0.6330 0.6911  0.00

(9)
Material: LaAlMo2
Method: DFT, PBE
State: optimized geometry

Summary:
Theoretical density (Mg/m³): 7.9
E_form (eV per atom): 0.449
Calculated total energy (eV/atom): -7.13
Crystal system: monoclinic

abc: 3.1412 5.3449 5.7856
angles: 50.72 90.00 90.00
Fractional coordinates of all 4 atoms:
Al: 0.5000 0.5000 0.5000
Mo: 0.0000 0.0000 0.0000
La: 0.0000 0.0000 0.5000
Mo: 0.5000 0.5000 0.0000

(10)
Material: La12Pm6Nd
Method: DFT, PBE
State: optimized geometry

Summary:
Theoretical density (Mg/m³): 6.5
E_form (eV per atom): 0.017
Calculated total energy (eV/atom): -4.85
Crystal system: trigonal

abc: 9.0834 9.8048 9.8048
angles: 69.09 72.01 107.99
Fractional coordinates of all 19 atoms:
Nd: 0.0000 0.0000 0.0000
La: 0.1039 0.3686 0.0538
La: 0.8423 0.9462 0.4224
Pm: 0.0513 0.6834 0.5281
La: 0.7892 0.2634 0.8937
La: 0.1577 0.0538 0.5776
Pm: 0.9487 0.3166 0.4719
La: 0.7353 0.5776 0.3686
La: 0.3170 0.1063 0.1571
Pm: 0.4207 0.4719 0.2114
La: 0.4741 0.1571 0.7366
Pm: 0.3679 0.7886 0.6834
Pm: 0.5793 0.5281 0.7886
La: 0.6830 0.8937 0.8429
La: 0.5259 0.8429 0.2634
La: 0.8961 0.6314 0.9462
La: 0.2108 0.7366 0.1063
La: 0.2647 0.4224 0.6314
Pm: 0.6321 0.2114 0.3166